Density functional theory data (PBE-GGA) for a geometry-optimized NpU4As5 structure.

Volume ... 24.01 A^3/atom
DFT formation energy ... -0.6898 eV per atom
Total magnetic moment ... 0.406 μB/atom
E_tot ... -8.824 eV/atom

```
data_NpU4As5
_chemical_formula_sum 'Np1 U4 As5'
_symmetry_space_group_name_H-M 'P 1'
_symmetry_Int_Tables_number 1
_symmetry_space_group_name_Hall 'P 1'
_cell_length_a 10.965
_cell_length_b 10.965
_cell_length_c 10.965
_cell_angle_alpha 158.94
_cell_angle_beta 149.50
_cell_angle_gamma 37.36
loop_
_atom_site_label
_atom_site_type_symbol
_atom_site_fract_x
_atom_site_fract_y
_atom_site_fract_z
Np1 Np 0.000 0.000 0.000
U1 U 0.200 0.200 0.000
U2 U 0.400 0.400 0.000
U3 U 0.600 0.600 0.000
U4 U 0.800 0.800 0.000
As1 As 0.101 0.601 0.500
As2 As 0.301 0.801 0.500
As3 As 0.500 0.000 0.500
As4 As 0.699 0.199 0.500
As5 As 0.899 0.399 0.500
```

Density functional theory data (PBE-GGA) for a geometry-optimized Nd12DyTh7 structure.

Volume ... 39.46 A^3/atom
DFT formation energy ... 0.8689 eV per atom
Total magnetic moment ... 0.037 μB/atom
E_tot ... -4.819 eV/atom

```
data_Nd12DyTh7
_chemical_formula_sum 'Nd12 Dy1 Th7'
_symmetry_space_group_name_H-M 'P 1'
_symmetry_Int_Tables_number 1
_symmetry_space_group_name_Hall 'P 1'
_cell_length_a 10.084
_cell_length_b 10.084
_cell_length_c 10.084
_cell_angle_alpha 109.47
_cell_angle_beta 109.47
_cell_angle_gamma 109.47
loop_
_atom_site_label
_atom_site_type_symbol
_atom_site_fract_x
_atom_site_fract_y
_atom_site_fract_z
Nd1 Nd 0.080 0.775 0.305
Nd2 Nd 0.225 0.305 0.530
Nd3 Nd 0.225 0.695 0.920
Nd4 Nd 0.305 0.080 0.775
Nd5 Nd 0.305 0.530 0.225
Nd6 Nd 0.470 0.775 0.695
Nd7 Nd 0.530 0.225 0.305
Nd8 Nd 0.695 0.470 0.775
Nd9 Nd 0.695 0.920 0.225
Nd10 Nd 0.775 0.305 0.080
Nd11 Nd 0.775 0.695 0.470
Nd12 Nd 0.920 0.225 0.695
Dy1 Dy 0.000 0.000 0.000
Th1 Th 0.000 0.000 0.500
Th2 Th 0.000 0.500 0.000
Th3 Th 0.000 0.500 0.500
Th4 Th 0.500 0.000 0.000
Th5 Th 0.500 0.000 0.500
Th6 Th 0.500 0.500 0.000
Th7 Th 0.500 0.500 0.500
```

Density functional theory data (PBE-GGA) for a geometry-optimized CdAu structure.

Volume ... 22.03 A^3/atom
DFT formation energy ... -0.0620 eV per atom
Total magnetic moment ... 0.000 μB/atom
E_tot ... -2.158 eV/atom

```
data_CdAu
_chemical_formula_sum 'Cd4 Au4'
_symmetry_space_group_name_H-M 'P 1'
_symmetry_Int_Tables_number 1
_symmetry_space_group_name_Hall 'P 1'
_cell_length_a 5.522
_cell_length_b 5.522
_cell_length_c 5.780
_cell_angle_alpha 90.00
_cell_angle_beta 90.00
_cell_angle_gamma 90.00
loop_
_atom_site_label
_atom_site_type_symbol
_atom_site_fract_x
_atom_site_fract_y
_atom_site_fract_z
Cd1 Cd 0.189 0.189 0.000
Cd2 Cd 0.311 0.689 0.500
Cd3 Cd 0.689 0.311 0.500
Cd4 Cd 0.811 0.811 0.000
Au1 Au 0.186 0.186 0.500
Au2 Au 0.314 0.686 0.000
Au3 Au 0.686 0.314 0.000
Au4 Au 0.814 0.814 0.500
```

Density functional theory data (PBE-GGA) for a geometry-optimized ScSiHg4 structure.

Volume ... 23.39 A^3/atom
Uncorrected formation energy ... 0.331 eV per atom
Total magnetic moment ... 0.000 μB/atom
E_tot ... -1.829 eV/atom

```
data_ScSiHg4
_chemical_formula_sum 'Sc1 Si1 Hg4'
_symmetry_space_group_name_H-M 'P 1'
_symmetry_Int_Tables_number 1
_symmetry_space_group_name_Hall 'P 1'
_cell_length_a 5.833
_cell_length_b 5.833
_cell_length_c 5.833
_cell_angle_alpha 60.00
_cell_angle_beta 60.00
_cell_angle_gamma 60.00
loop_
_atom_site_label
_atom_site_type_symbol
_atom_site_fract_x
_atom_site_fract_y
_atom_site_fract_z
Sc1 Sc 0.000 0.000 0.000
Si1 Si 0.750 0.750 0.750
Hg1 Hg 0.375 0.375 0.375
Hg2 Hg 0.375 0.375 0.875
Hg3 Hg 0.375 0.875 0.375
Hg4 Hg 0.875 0.375 0.375
```

Density functional theory data (PBE-GGA) for a geometry-optimized Pr2Ho3Er3 structure.

Volume ... 32.87 A^3/atom
Polymorph energy (0 for the lowest one) ... 14 meV per atom
DFT formation energy ... 0.1440 eV per atom
Total magnetic moment ... 0.000 μB/atom
E_tot ... -4.479 eV/atom

```
data_Pr2Ho3Er3
_chemical_formula_sum 'Pr4 Ho6 Er6'
_symmetry_space_group_name_H-M 'P 1'
_symmetry_Int_Tables_number 1
_symmetry_space_group_name_Hall 'P 1'
_cell_length_a 6.555
_cell_length_b 6.555
_cell_length_c 15.887
_cell_angle_alpha 90.00
_cell_angle_beta 90.00
_cell_angle_gamma 129.61
loop_
_atom_site_label
_atom_site_type_symbol
_atom_site_fract_x
_atom_site_fract_y
_atom_site_fract_z
Pr1 Pr 0.218 0.782 0.627
Pr2 Pr 0.218 0.782 0.873
Pr3 Pr 0.782 0.218 0.127
Pr4 Pr 0.782 0.218 0.373
Ho1 Ho 0.081 0.919 0.090
Ho2 Ho 0.081 0.919 0.410
Ho3 Ho 0.263 0.737 0.250
Ho4 Ho 0.737 0.263 0.750
Ho5 Ho 0.919 0.081 0.590
Ho6 Ho 0.919 0.081 0.910
Er1 Er 0.385 0.615 0.051
Er2 Er 0.385 0.615 0.449
Er3 Er 0.458 0.542 0.750
Er4 Er 0.542 0.458 0.250
Er5 Er 0.615 0.385 0.551
Er6 Er 0.615 0.385 0.949
```